# NpBe2ZnO6

A relaxed NpBe2ZnO6 crystal (PBE, Alexandria).

Unit cell a=5.320 b=6.890 c=6.890 alpha=82.20 beta=71.31 gamma=71.31
Last column: magnetic moment on the atom in μB.
Atoms (fractional coordinates):
O (0.151, 0.615, 0.164)  -0.04
O (0.169, 0.603, 0.708)  -0.03
O (0.331, 0.292, 0.397)  -0.03
O (0.669, 0.708, 0.603)  -0.03
O (0.327, 0.214, 0.026)  -0.03
O (0.673, 0.786, 0.974)  -0.03
O (0.349, 0.836, 0.385)  -0.04
O (0.173, 0.974, 0.786)  -0.03
O (0.827, 0.026, 0.214)  -0.03
O (0.849, 0.385, 0.836)  -0.04
O (0.651, 0.164, 0.615)  -0.04
O (0.831, 0.397, 0.292)  -0.03
Zn (0.750, 0.084, 0.916)  0.00
Zn (0.250, 0.916, 0.084)  0.00
Np (0.250, 0.278, 0.722)  1.19
Np (0.750, 0.722, 0.278)  1.19
Be (0.173, 0.357, 0.223)  0.00
Be (0.327, 0.777, 0.643)  0.00
Be (0.827, 0.643, 0.777)  0.00
Be (0.673, 0.223, 0.357)  0.00

As for the uncorrected formation energy: -2357 meV per atom. The calculation puts the density of states at the Fermi level at 0.03 states/eV/atom. The volume is 11.32 Å³/atom. For the total moment, the calculation gives 0.10 μB per atom.

# NpBeZnO6

A relaxed NpBeZnO6 crystal (PBE, Alexandria).

Unit cell a=5.004 b=5.004 c=9.012 alpha=90.00 beta=90.00 gamma=120.00
Atoms (fractional coordinates):
O (0.978, 0.337, 0.136)
O (0.022, 0.663, 0.864)
O (0.337, 0.978, 0.636)
O (0.337, 0.359, 0.864)
O (0.663, 0.641, 0.136)
O (0.978, 0.641, 0.364)
O (0.359, 0.337, 0.364)
O (0.663, 0.022, 0.364)
O (0.359, 0.022, 0.136)
O (0.641, 0.978, 0.864)
O (0.022, 0.359, 0.636)
O (0.641, 0.663, 0.636)
Zn (0.000, 0.000, 0.500)
Zn (0.000, 0.000, 0.000)
Np (0.333, 0.667, 0.250)
Np (0.667, 0.333, 0.750)
Be (0.667, 0.333, 0.250)
Be (0.333, 0.667, 0.750)

As for the uncorrected formation energy: -1861 meV per atom. The calculation puts the density of states at the Fermi level at 0.65 states/eV/atom. The volume is 10.86 Å³/atom. For the total moment, the calculation gives 0.00 μB per atom.

# NpBeOs2

A relaxed NpBeOs2 crystal (PBE, Alexandria).

Unit cell a=2.927 b=2.927 c=6.691 alpha=90.00 beta=90.00 gamma=90.00
Atoms (fractional coordinates):
Os (0.000, 0.000, 0.797)
Os (0.000, 0.000, 0.203)
Be (0.500, 0.500, 0.000)
Np (0.500, 0.500, 0.500)

For the formation energy, the calculation gives 0.14 eV per atom. The calculation puts the density of states at the Fermi level at 1.25 states/eV/atom. The volume is 14.33 Å³/atom. For the total moment, the calculation gives 0.00 μB per atom.

# NpBeOs

A relaxed NpBeOs crystal (PBE, Alexandria).

Unit cell a=3.149 b=7.481 c=7.432 alpha=90.00 beta=90.00 gamma=90.00
Last column: magnetic moment on the atom in μB.
Atoms (fractional coordinates):
Be (0.250, 0.628, 0.796)  0.00
Be (0.750, 0.128, 0.704)  0.00
Be (0.750, 0.372, 0.204)  0.00
Be (0.250, 0.872, 0.296)  0.00
Os (0.250, 0.907, 0.620)  -0.06
Os (0.750, 0.093, 0.380)  -0.06
Os (0.750, 0.407, 0.880)  -0.06
Os (0.250, 0.593, 0.120)  -0.06
Np (0.250, 0.128, 0.012)  0.61
Np (0.750, 0.872, 0.988)  0.61
Np (0.250, 0.372, 0.512)  0.61
Np (0.750, 0.628, 0.488)  0.61

For the formation energy, the calculation gives -0.03 eV per atom. The calculation puts the density of states at the Fermi level at 1.40 states/eV/atom. The volume is 14.59 Å³/atom. For the total moment, the calculation gives 0.19 μB per atom.

# NpBeP2Os

A relaxed NpBeP2Os crystal (PBE, Alexandria).

Unit cell a=3.574 b=3.574 c=6.436 alpha=106.12 beta=106.12 gamma=90.00
Last column: magnetic moment on the atom in μB.
Atoms (fractional coordinates):
Os (0.750, 0.250, 0.500)  -0.02
Be (0.250, 0.750, 0.500)  0.00
Np (0.000, 0.000, 0.000)  3.58
P (0.378, 0.378, 0.756)  -0.05
P (0.622, 0.622, 0.244)  -0.05

For the formation energy, the calculation gives -0.45 eV per atom. The calculation puts the density of states at the Fermi level at 1.14 states/eV/atom. The volume is 15.12 Å³/atom. For the total moment, the calculation gives 0.75 μB per atom.

# NpBeOsRu

A relaxed NpBeOsRu crystal (PBE, Alexandria).

Unit cell a=4.448 b=4.448 c=4.448 alpha=60.00 beta=60.00 gamma=60.00
Last column: magnetic moment on the atom in μB.
Atoms (fractional coordinates):
Os (0.250, 0.250, 0.250)  -0.23
Be (0.000, 0.000, 0.000)  0.02
Np (0.500, 0.500, 0.500)  2.87
Ru (0.750, 0.750, 0.750)  -0.23

For the formation energy, the calculation gives 0.10 eV per atom. The calculation puts the density of states at the Fermi level at 1.43 states/eV/atom. The volume is 15.56 Å³/atom. For the total moment, the calculation gives 0.63 μB per atom.

# Np2Be4Si3Os

A relaxed Np2Be4Si3Os crystal (PBE, Alexandria).

Unit cell a=3.823 b=3.823 c=9.699 alpha=90.00 beta=90.00 gamma=90.00
Last column: magnetic moment on the atom in μB.
Atoms (fractional coordinates):
Np (0.500, 0.000, 0.250)  3.62
Np (0.000, 0.500, 0.750)  3.62
Be (0.500, 0.500, 0.000)  0.00
Be (0.000, 0.000, 0.000)  0.00
Be (0.500, 0.000, 0.635)  0.01
Be (0.000, 0.500, 0.365)  0.01
Si (0.500, 0.000, 0.868)  -0.05
Si (0.000, 0.000, 0.500)  -0.03
Si (0.000, 0.500, 0.132)  -0.05
Os (0.500, 0.500, 0.500)  -0.10

As for the uncorrected formation energy: -186 meV per atom. The calculation puts the density of states at the Fermi level at 1.48 states/eV/atom. The volume is 14.17 Å³/atom. For the total moment, the calculation gives 0.78 μB per atom.

# Np2Be3Si4Os

A relaxed Np2Be3Si4Os crystal (PBE, Alexandria).

Unit cell a=3.906 b=3.906 c=9.660 alpha=90.00 beta=90.00 gamma=90.00
Last column: magnetic moment on the atom in μB.
Atoms (fractional coordinates):
Os (0.500, 0.500, 0.500)  -0.11
Be (0.500, 0.000, 0.873)  -0.02
Be (0.000, 0.000, 0.500)  -0.02
Be (0.000, 0.500, 0.127)  -0.02
Si (0.000, 0.500, 0.359)  -0.01
Si (0.500, 0.000, 0.641)  -0.01
Si (0.000, 0.000, 0.000)  -0.02
Si (0.500, 0.500, 0.000)  -0.02
Np (0.500, 0.000, 0.240)  3.64
Np (0.000, 0.500, 0.760)  3.64

As for the uncorrected formation energy: -233 meV per atom. The calculation puts the density of states at the Fermi level at 1.33 states/eV/atom. The volume is 14.74 Å³/atom. For the total moment, the calculation gives 0.78 μB per atom.

# Np3Be2P4

A relaxed Np3Be2P4 crystal (PBE, Alexandria).

Unit cell a=3.721 b=6.557 c=7.263 alpha=72.20 beta=75.16 gamma=73.52
Last column: magnetic moment on the atom in μB.
Atoms (fractional coordinates):
Np (0.628, 0.456, 0.288)  3.98
Np (0.372, 0.544, 0.712)  3.98
Np (0.000, 0.000, 0.000)  3.65
Be (0.317, 0.002, 0.365)  0.01
Be (0.683, 0.998, 0.635)  0.01
P (0.681, 0.732, 0.906)  -0.11
P (0.319, 0.268, 0.094)  -0.11
P (0.904, 0.789, 0.403)  -0.07
P (0.096, 0.211, 0.597)  -0.07

For the formation energy, the calculation gives -0.62 eV per atom. The calculation puts the density of states at the Fermi level at 1.90 states/eV/atom. The volume is 17.67 Å³/atom. For the total moment, the calculation gives 1.39 μB per atom.

# Np2Be2P3

A relaxed Np2Be2P3 crystal (PBE, Alexandria).

Unit cell a=3.694 b=7.353 c=9.275 alpha=80.04 beta=78.51 gamma=75.45
Last column: magnetic moment on the atom in μB.
Atoms (fractional coordinates):
Np (0.401, 0.241, 0.957)  4.00
Np (0.599, 0.759, 0.043)  4.00
Np (0.262, 0.123, 0.353)  3.85
Np (0.738, 0.877, 0.647)  3.85
P (0.406, 0.727, 0.460)  -0.05
P (0.916, 0.008, 0.160)  -0.11
P (0.842, 0.511, 0.804)  -0.07
P (0.158, 0.489, 0.196)  -0.07
P (0.084, 0.992, 0.840)  -0.11
P (0.594, 0.273, 0.540)  -0.05
Be (0.958, 0.757, 0.328)  0.00
Be (0.407, 0.519, 0.667)  0.03
Be (0.593, 0.481, 0.333)  0.03
Be (0.042, 0.243, 0.672)  0.00

For the formation energy, the calculation gives -0.56 eV per atom. The calculation puts the density of states at the Fermi level at 1.81 states/eV/atom. The volume is 16.92 Å³/atom. For the total moment, the calculation gives 1.23 μB per atom.

# Np2Be3P4Rh

A relaxed Np2Be3P4Rh crystal (PBE, Alexandria).

Unit cell a=3.976 b=3.976 c=8.984 alpha=90.00 beta=90.00 gamma=90.00
Last column: magnetic moment on the atom in μB.
Atoms (fractional coordinates):
P (0.500, 0.000, 0.650)  -0.05
P (0.000, 0.500, 0.350)  -0.05
P (0.000, 0.000, 0.000)  -0.07
P (0.500, 0.500, 0.000)  -0.07
Be (0.000, 0.000, 0.500)  0.02
Be (0.000, 0.500, 0.110)  -0.01
Be (0.500, 0.000, 0.890)  -0.01
Np (0.000, 0.500, 0.770)  3.69
Np (0.500, 0.000, 0.230)  3.69
Rh (0.500, 0.500, 0.500)  -0.14

For the formation energy, the calculation gives -0.48 eV per atom. The calculation puts the density of states at the Fermi level at 1.47 states/eV/atom. The volume is 14.21 Å³/atom. For the total moment, the calculation gives 0.76 μB per atom.

# NpBeP2Ru

A relaxed NpBeP2Ru crystal (PBE, Alexandria).

Unit cell a=3.564 b=3.564 c=6.412 alpha=106.14 beta=106.14 gamma=90.00
Last column: magnetic moment on the atom in μB.
Atoms (fractional coordinates):
P (0.622, 0.622, 0.244)  -0.05
P (0.378, 0.378, 0.756)  -0.05
Np (0.000, 0.000, 0.000)  3.55
Be (0.750, 0.250, 0.500)  0.00
Ru (0.250, 0.750, 0.500)  -0.01

For the formation energy, the calculation gives -0.58 eV per atom. The calculation puts the density of states at the Fermi level at 1.24 states/eV/atom. The volume is 14.98 Å³/atom. For the total moment, the calculation gives 0.74 μB per atom.